Below is crystalline CeVAu at its relaxed geometry, with properties calculated at the PBE level.

Properties
Energy of formation from the pure elements ... -0.092 eV/atom
E ... -37.21 eV for the cell shown
Spin magnetization ... 0.6 μB per formula unit
Calculated density ... 10.08 g cm⁻³

POSCAR file:
```
CeVAu
1.0
5.757 0.164 -0.011
1.365 5.595 -0.011
1.833 1.482 3.993
Au Ce V
2 2 2
Direct
0.773 0.350 0.131
0.350 0.773 0.131
0.172 0.172 0.521
0.771 0.771 0.422
0.543 0.239 0.802
0.239 0.543 0.802
```